[1]
NdY2UAs4: optimized geometry, GGA-PBE.

- magnetic moment (μB/f.u.) = 2.4
- space-group type = P2/m, No. 10
- DOS at the Fermi energy (states/eV per cell) = 8.22
- total energy (eV/atom) = -7.28
- energy relative to the elements (eV per atom) = -1.329

```
data_NdY2UAs4
_cell_length_a 7.1865
_cell_length_b 4.1372
_cell_length_c 7.1899
_cell_angle_alpha 90.00
_cell_angle_beta 109.19
_cell_angle_gamma 90.00
_symmetry_space_group_name_H-M 'P 1'
_symmetry_Int_Tables_number 1
loop_
_symmetry_equiv_pos_as_xyz
'x,y,z'
loop_
_atom_site_label
_atom_site_type_symbol
_atom_site_fract_x
_atom_site_fract_y
_atom_site_fract_z
Nd1 Nd 0.0000 0.0000 0.0000
Y1 Y 0.5000 0.0000 0.5000
Y2 Y 0.5000 0.5000 0.0000
U1 U 0.0000 0.5000 0.5000
As1 As 0.2504 0.0000 0.7441
As2 As 0.2525 0.5000 0.2598
As3 As 0.7475 0.5000 0.7402
As4 As 0.7496 0.0000 0.2559
```

[2]
NdVAs3: optimized geometry, GGA-PBE.

- magnetic moment (μB/f.u.) = 0.0
- space-group type = Pbcm, No. 57
- DOS at the Fermi energy (states/eV per cell) = 9.11
- total energy (eV/atom) = -6.35
- energy relative to the elements (eV per atom) = -0.786

```
data_NdVAs3
_cell_length_a 12.5618
_cell_length_b 5.7659
_cell_length_c 5.5968
_cell_angle_alpha 90.00
_cell_angle_beta 90.00
_cell_angle_gamma 90.00
_symmetry_space_group_name_H-M 'P 1'
_symmetry_Int_Tables_number 1
loop_
_symmetry_equiv_pos_as_xyz
'x,y,z'
loop_
_atom_site_label
_atom_site_type_symbol
_atom_site_fract_x
_atom_site_fract_y
_atom_site_fract_z
Nd1 Nd 0.1876 0.0028 0.2500
Nd2 Nd 0.1876 0.4972 0.7500
Nd3 Nd 0.8124 0.5028 0.2500
Nd4 Nd 0.8124 0.9972 0.7500
V1 V 0.4165 0.7500 0.0000
V2 V 0.4165 0.7500 0.5000
V3 V 0.5835 0.2500 0.0000
V4 V 0.5835 0.2500 0.5000
As1 As 0.0010 0.7500 0.0000
As2 As 0.0010 0.7500 0.5000
As3 As 0.2890 0.5044 0.2500
As4 As 0.2890 0.9956 0.7500
As5 As 0.4281 0.1113 0.2500
As6 As 0.4281 0.3887 0.7500
As7 As 0.5719 0.6113 0.2500
As8 As 0.5719 0.8887 0.7500
As9 As 0.7110 0.0044 0.2500
As10 As 0.7110 0.4956 0.7500
As11 As 0.9990 0.2500 0.0000
As12 As 0.9990 0.2500 0.5000
```

[3]
NdVAs: optimized geometry, GGA-PBE.

- magnetic moment (μB/f.u.) = 0.0
- space-group type = C2/m, No. 12
- DOS at the Fermi energy (states/eV per cell) = 7.87
- total energy (eV/atom) = -6.50
- energy relative to the elements (eV per atom) = -0.322

```
data_NdVAs
_cell_length_a 4.0586
_cell_length_b 4.0586
_cell_length_c 8.5449
_cell_angle_alpha 90.03
_cell_angle_beta 90.03
_cell_angle_gamma 90.00
_symmetry_space_group_name_H-M 'P 1'
_symmetry_Int_Tables_number 1
loop_
_symmetry_equiv_pos_as_xyz
'x,y,z'
loop_
_atom_site_label
_atom_site_type_symbol
_atom_site_fract_x
_atom_site_fract_y
_atom_site_fract_z
Nd1 Nd 0.2503 0.2503 0.1799
Nd2 Nd 0.7497 0.7497 0.8201
V1 V 0.2495 0.2495 0.5464
V2 V 0.7505 0.7505 0.4536
As1 As 0.2496 0.2496 0.8304
As2 As 0.7504 0.7504 0.1696
```

[4]
NdY2As3: optimized geometry, GGA-PBE.

- magnetic moment (μB/f.u.) = 0.0
- space-group type = Immm, No. 71
- DOS at the Fermi energy (states/eV per cell) = 0.87
- total energy (eV/atom) = -6.81
- energy relative to the elements (eV per atom) = -1.534

```
data_NdY2As3
_cell_length_a 7.2287
_cell_length_b 7.2287
_cell_length_c 7.2287
_cell_angle_alpha 146.42
_cell_angle_beta 131.75
_cell_angle_gamma 60.07
_symmetry_space_group_name_H-M 'P 1'
_symmetry_Int_Tables_number 1
loop_
_symmetry_equiv_pos_as_xyz
'x,y,z'
loop_
_atom_site_label
_atom_site_type_symbol
_atom_site_fract_x
_atom_site_fract_y
_atom_site_fract_z
Nd1 Nd 0.0000 0.0000 0.0000
Y1 Y 0.3341 0.3341 0.0000
Y2 Y 0.6659 0.6659 0.0000
As1 As 0.1712 0.6712 0.5000
As2 As 0.5000 0.0000 0.5000
As3 As 0.8288 0.3288 0.5000
```

[5]
Nd3Y5As8: optimized geometry, GGA-PBE.

- magnetic moment (μB/f.u.) = 0.0
- space-group type = R-3m, No. 166
- DOS at the Fermi energy (states/eV per cell) = 2.45
- total energy (eV/atom) = -6.77
- energy relative to the elements (eV per atom) = -1.534

```
data_Nd3Y5As8
_cell_length_a 8.3605
_cell_length_b 8.3605
_cell_length_c 8.3605
_cell_angle_alpha 60.00
_cell_angle_beta 60.00
_cell_angle_gamma 60.00
_symmetry_space_group_name_H-M 'P 1'
_symmetry_Int_Tables_number 1
loop_
_symmetry_equiv_pos_as_xyz
'x,y,z'
loop_
_atom_site_label
_atom_site_type_symbol
_atom_site_fract_x
_atom_site_fract_y
_atom_site_fract_z
Nd1 Nd 0.0000 0.5000 0.5000
Nd2 Nd 0.5000 0.0000 0.5000
Nd3 Nd 0.5000 0.5000 0.0000
Y1 Y 0.0000 0.0000 0.0000
Y2 Y 0.0000 0.0000 0.5000
Y3 Y 0.0000 0.5000 0.0000
Y4 Y 0.5000 0.0000 0.0000
Y5 Y 0.5000 0.5000 0.5000
As1 As 0.2442 0.7500 0.7500
As2 As 0.2471 0.2471 0.2471
As3 As 0.2500 0.2500 0.7558
As4 As 0.2500 0.7558 0.2500
As5 As 0.7500 0.2442 0.7500
As6 As 0.7500 0.7500 0.2442
As7 As 0.7529 0.7529 0.7529
As8 As 0.7558 0.2500 0.2500
```

[6]
Nd2YAs3: optimized geometry, GGA-PBE.

- magnetic moment (μB/f.u.) = 0.0
- space-group type = I4/mmm, No. 139
- DOS at the Fermi energy (states/eV per cell) = 0.73
- total energy (eV/atom) = -6.51
- energy relative to the elements (eV per atom) = -1.517

```
data_Nd2YAs3
_cell_length_a 9.4442
_cell_length_b 9.4442
_cell_length_c 9.4442
_cell_angle_alpha 154.14
_cell_angle_beta 154.14
_cell_angle_gamma 36.90
_symmetry_space_group_name_H-M 'P 1'
_symmetry_Int_Tables_number 1
loop_
_symmetry_equiv_pos_as_xyz
'x,y,z'
loop_
_atom_site_label
_atom_site_type_symbol
_atom_site_fract_x
_atom_site_fract_y
_atom_site_fract_z
Nd1 Nd 0.1661 0.1661 0.0000
Nd2 Nd 0.8339 0.8339 0.0000
Y1 Y 0.5000 0.5000 0.0000
As1 As 0.0000 0.0000 0.0000
As2 As 0.3357 0.3357 0.0000
As3 As 0.6643 0.6643 0.0000
```

[7]
NdY4As5: optimized geometry, GGA-PBE.

- magnetic moment (μB/f.u.) = 0.0
- space-group type = Immm, No. 71
- DOS at the Fermi energy (states/eV per cell) = 1.60
- total energy (eV/atom) = -6.93
- energy relative to the elements (eV per atom) = -1.542

```
data_NdY4As5
_cell_length_a 10.9883
_cell_length_b 10.9883
_cell_length_c 10.9883
_cell_angle_alpha 158.20
_cell_angle_beta 148.97
_cell_angle_gamma 38.24
_symmetry_space_group_name_H-M 'P 1'
_symmetry_Int_Tables_number 1
loop_
_symmetry_equiv_pos_as_xyz
'x,y,z'
loop_
_atom_site_label
_atom_site_type_symbol
_atom_site_fract_x
_atom_site_fract_y
_atom_site_fract_z
Nd1 Nd 0.0000 0.0000 0.0000
Y1 Y 0.2015 0.2015 0.0000
Y2 Y 0.3994 0.3994 0.0000
Y3 Y 0.6006 0.6006 0.0000
Y4 Y 0.7985 0.7985 0.0000
As1 As 0.1033 0.6033 0.5000
As2 As 0.3004 0.8004 0.5000
As3 As 0.5000 0.0000 0.5000
As4 As 0.6996 0.1996 0.5000
As5 As 0.8967 0.3967 0.5000
```

[8]
Nd2YAs: optimized geometry, GGA-PBE.

- magnetic moment (μB/f.u.) = 1.2
- space-group type = R-3m, No. 166
- DOS at the Fermi energy (states/eV per cell) = 5.25
- total energy (eV/atom) = -5.72
- energy relative to the elements (eV per atom) = -0.561

```
data_Nd2YAs
_cell_length_a 9.8671
_cell_length_b 9.8671
_cell_length_c 9.8671
_cell_angle_alpha 23.35
_cell_angle_beta 23.35
_cell_angle_gamma 23.35
_symmetry_space_group_name_H-M 'P 1'
_symmetry_Int_Tables_number 1
loop_
_symmetry_equiv_pos_as_xyz
'x,y,z'
loop_
_atom_site_label
_atom_site_type_symbol
_atom_site_fract_x
_atom_site_fract_y
_atom_site_fract_z
Nd1 Nd 0.2290 0.2290 0.2290
Nd2 Nd 0.7710 0.7710 0.7710
Y1 Y 0.0000 0.0000 0.0000
As1 As 0.5000 0.5000 0.5000
```

[9]
NdY2As: optimized geometry, GGA-PBE.

- magnetic moment (μB/f.u.) = 0.0
- space-group type = R-3m, No. 166
- DOS at the Fermi energy (states/eV per cell) = 3.78
- total energy (eV/atom) = -6.23
- energy relative to the elements (eV per atom) = -0.643

```
data_NdY2As
_cell_length_a 9.7610
_cell_length_b 9.7610
_cell_length_c 9.7610
_cell_angle_alpha 22.93
_cell_angle_beta 22.93
_cell_angle_gamma 22.93
_symmetry_space_group_name_H-M 'P 1'
_symmetry_Int_Tables_number 1
loop_
_symmetry_equiv_pos_as_xyz
'x,y,z'
loop_
_atom_site_label
_atom_site_type_symbol
_atom_site_fract_x
_atom_site_fract_y
_atom_site_fract_z
Nd1 Nd 0.0000 0.0000 0.0000
Y1 Y 0.2271 0.2271 0.2271
Y2 Y 0.7729 0.7729 0.7729
As1 As 0.5000 0.5000 0.5000
```

[10]
NdY3As4: optimized geometry, GGA-PBE.

- magnetic moment (μB/f.u.) = 0.0
- space-group type = Cmmm, No. 65
- DOS at the Fermi energy (states/eV per cell) = 0.92
- total energy (eV/atom) = -6.88
- energy relative to the elements (eV per atom) = -1.540

```
data_NdY3As4
_cell_length_a 7.2079
_cell_length_b 7.2079
_cell_length_c 4.1647
_cell_angle_alpha 90.00
_cell_angle_beta 90.00
_cell_angle_gamma 109.45
_symmetry_space_group_name_H-M 'P 1'
_symmetry_Int_Tables_number 1
loop_
_symmetry_equiv_pos_as_xyz
'x,y,z'
loop_
_atom_site_label
_atom_site_type_symbol
_atom_site_fract_x
_atom_site_fract_y
_atom_site_fract_z
Nd1 Nd 0.0000 0.0000 0.0000
Y1 Y 0.0000 0.5000 0.5000
Y2 Y 0.5000 0.0000 0.5000
Y3 Y 0.5000 0.5000 0.0000
As1 As 0.2529 0.7471 0.0000
As2 As 0.2559 0.2559 0.5000
As3 As 0.7441 0.7441 0.5000
As4 As 0.7471 0.2529 0.0000
```

[11]
Nd2YZrAs4: optimized geometry, GGA-PBE.

- magnetic moment (μB/f.u.) = 0.0
- space-group type = P2/m, No. 10
- DOS at the Fermi energy (states/eV per cell) = 1.50
- total energy (eV/atom) = -6.81
- energy relative to the elements (eV per atom) = -1.419

```
data_Nd2YZrAs4
_cell_length_a 7.1364
_cell_length_b 4.1200
_cell_length_c 7.1500
_cell_angle_alpha 90.00
_cell_angle_beta 109.29
_cell_angle_gamma 90.00
_symmetry_space_group_name_H-M 'P 1'
_symmetry_Int_Tables_number 1
loop_
_symmetry_equiv_pos_as_xyz
'x,y,z'
loop_
_atom_site_label
_atom_site_type_symbol
_atom_site_fract_x
_atom_site_fract_y
_atom_site_fract_z
Nd1 Nd 0.0000 0.0000 0.0000
Nd2 Nd 0.5000 0.5000 0.0000
Y1 Y 0.0000 0.5000 0.5000
Zr1 Zr 0.5000 0.0000 0.5000
As1 As 0.2529 0.0000 0.7349
As2 As 0.2636 0.5000 0.2695
As3 As 0.7364 0.5000 0.7305
As4 As 0.7471 0.0000 0.2651
```

[12]
NdZn3As3: optimized geometry, GGA-PBE.

- magnetic moment (μB/f.u.) = 0.0
- space-group type = P6_3/m, No. 176
- DOS at the Fermi energy (states/eV per cell) = 0.22
- total energy (eV/atom) = -3.71
- energy relative to the elements (eV per atom) = -0.492
- polymorph energy (0 for the lowest one) (meV/atom) = 50.8

```
data_NdZn3As3
_cell_length_a 10.0241
_cell_length_b 10.0241
_cell_length_c 4.0768
_cell_angle_alpha 90.00
_cell_angle_beta 90.00
_cell_angle_gamma 120.00
_symmetry_space_group_name_H-M 'P 1'
_symmetry_Int_Tables_number 1
loop_
_symmetry_equiv_pos_as_xyz
'x,y,z'
loop_
_atom_site_label
_atom_site_type_symbol
_atom_site_fract_x
_atom_site_fract_y
_atom_site_fract_z
Nd1 Nd 0.3333 0.6667 0.2500
Nd2 Nd 0.6667 0.3333 0.7500
Zn1 Zn 0.0477 0.6611 0.7500
Zn2 Zn 0.3389 0.3866 0.7500
Zn3 Zn 0.3866 0.0477 0.2500
Zn4 Zn 0.6134 0.9523 0.7500
Zn5 Zn 0.6611 0.6134 0.2500
Zn6 Zn 0.9523 0.3389 0.2500
As1 As 0.1126 0.4223 0.7500
As2 As 0.3098 0.8874 0.7500
As3 As 0.4223 0.3098 0.2500
As4 As 0.5777 0.6902 0.7500
As5 As 0.6902 0.1126 0.2500
As6 As 0.8874 0.5777 0.2500
```